1.
The following is a DFT calculation (GGA-PBE) of a geometry-optimized ScPbI2O structure.

a b c (Å): 6.272 6.272 4.215
angles (deg): 90.00 90.00 90.00
Element x y z (fractional)
Sc 0.000 0.000 0.000
Pb 0.500 0.500 0.500
I 0.000 0.500 0.500
I 0.500 0.000 0.500
O 0.500 0.500 0.000

Computed properties:
- Crystal system: tetragonal
- Distance to the lowest polymorph of the same formula: 1075 meV/atom
- SG: P4/mmm
- Raw formation energy: -0.16 eV/atom


2.
The following is a DFT calculation (GGA-PBE) of a geometry-optimized BaBe3In structure.

a b c (Å): 4.792 4.792 4.792
angles (deg): 90.00 90.00 90.00
Element x y z (fractional)
Ba 0.000 0.000 0.000
Be 0.000 0.500 0.500
Be 0.500 0.000 0.500
Be 0.500 0.500 0.000
In 0.500 0.500 0.500

Computed properties:
- Crystal system: cubic
- ΔH_f (0 K): 745.3 meV/atom
- Distance to the lowest polymorph of the same formula: 0 meV/atom
- SG: Pm-3m


3.
The following is a DFT calculation (GGA-PBE) of a geometry-optimized FeTeRu structure.

a b c (Å): 6.052 6.052 6.052
angles (deg): 90.00 90.00 90.00
Element x y z (fractional)
Fe 0.000 0.000 0.000
Fe 0.000 0.500 0.500
Fe 0.500 0.000 0.500
Fe 0.500 0.500 0.000
Te 0.000 0.000 0.500
Te 0.000 0.500 0.000
Te 0.500 0.000 0.000
Te 0.500 0.500 0.500
Ru 0.250 0.250 0.750
Ru 0.250 0.750 0.250
Ru 0.750 0.250 0.250
Ru 0.750 0.750 0.750

Computed properties:
- Crystal system: cubic
- Distance to the lowest polymorph of the same formula: 0 meV/atom
- SG: F-43m
- Raw formation energy: 0.16 eV/atom


4.
The following is a DFT calculation (GGA-PBE) of a geometry-optimized Be2InBr structure.

a b c (Å): 3.243 3.243 7.775
angles (deg): 90.00 90.00 90.00
Element x y z (fractional)
Be 0.000 0.000 0.000
Be 0.500 0.500 0.086
In 0.500 0.500 0.753
Br 0.000 0.000 0.286

Computed properties:
- Crystal system: tetragonal
- Distance to the lowest polymorph of the same formula: 128 meV/atom
- SG: P4mm
- Raw formation energy: 0.38 eV/atom


5.
The following is a DFT calculation (GGA-PBE) of a geometry-optimized Ca2ScHg structure.

a b c (Å): 4.765 4.765 9.994
angles (deg): 90.00 90.00 90.00
Element x y z (fractional)
Ca 0.000 0.500 0.250
Ca 0.000 0.500 0.750
Ca 0.500 0.000 0.250
Ca 0.500 0.000 0.750
Sc 0.000 0.000 0.000
Sc 0.500 0.500 0.500
Hg 0.000 0.000 0.500
Hg 0.500 0.500 0.000

Computed properties:
- Crystal system: tetragonal
- ΔH_f (0 K): -24.6 meV/atom
- SG: I4/mmm


6.
The following is a DFT calculation (GGA-PBE) of a geometry-optimized CaAuSe structure.

a b c (Å): 5.407 5.407 5.510
angles (deg): 90.00 90.00 90.00
Element x y z (fractional)
Ca 0.000 0.000 0.000
Ca 0.500 0.500 0.500
Au 0.000 0.500 0.250
Au 0.500 0.000 0.750
Se 0.000 0.500 0.750
Se 0.500 0.000 0.250

Computed properties:
- Crystal system: tetragonal
- Distance to the lowest polymorph of the same formula: 41 meV/atom
- SG: I-4m2
- Raw formation energy: -0.95 eV/atom


7.
The following is a DFT calculation (GGA-PBE) of a geometry-optimized NaTa3Tl structure.

a b c (Å): 5.190 5.190 5.190
angles (deg): 90.00 90.00 90.00
Element x y z (fractional)
Na 0.000 0.000 0.000
Ta 0.000 0.500 0.500
Ta 0.500 0.000 0.500
Ta 0.500 0.500 0.000
Tl 0.500 0.500 0.500

Computed properties:
- Crystal system: cubic
- ΔH_f (0 K): 2380.8 meV/atom
- Distance to the lowest polymorph of the same formula: 179 meV/atom
- SG: Pm-3m


8.
The following is a DFT calculation (GGA-PBE) of a geometry-optimized Re2Ag structure.

a b c (Å): 5.237 5.237 5.237
angles (deg): 60.00 60.00 60.00
Element x y z (fractional)
Re 0.000 0.000 0.000
Re 0.000 0.000 0.500
Re 0.000 0.500 0.000
Re 0.500 0.000 0.000
Ag 0.375 0.375 0.375
Ag 0.625 0.625 0.625

Computed properties:
- Crystal system: cubic
- ΔH_f (0 K): 769.3 meV/atom
- Distance to the lowest polymorph of the same formula: 460 meV/atom
- SG: Fd-3m


9.
The following is a DFT calculation (GGA-PBE) of a geometry-optimized CeNd14Tl structure.

a b c (Å): 10.314 7.260 7.260
angles (deg): 89.99 90.00 90.00
Element x y z (fractional)
Ce 0.000 0.000 0.000
Nd 0.000 0.501 0.998
Nd 0.000 0.998 0.501
Nd 0.243 0.250 0.250
Nd 0.244 0.250 0.749
Nd 0.244 0.749 0.250
Nd 0.245 0.749 0.749
Nd 0.500 0.000 0.000
Nd 0.500 0.001 0.499
Nd 0.500 0.499 0.001
Nd 0.500 0.500 0.500
Nd 0.755 0.749 0.749
Nd 0.756 0.250 0.749
Nd 0.756 0.749 0.250
Nd 0.757 0.250 0.250
Tl 0.000 0.499 0.499

Computed properties:
- Crystal system: orthorhombic
- ΔH_f (0 K): -5.4 meV/atom
- SG: Amm2


| no. | DOS(E_F) (states/eV/atom) | calculated volume (Å³ per atom) |
| --- | --- | --- |
| 1 | 1.111 | 33.2 |
| 2 | 0.430 | 22.0 |
| 3 | 0.910 | 18.5 |
| 4 | 0.115 | 20.4 |
| 5 | 1.541 | 28.4 |
| 6 | 0.392 | 26.8 |
| 7 | 1.315 | 28.0 |
| 8 | 1.027 | 16.9 |
| 9 | 1.567 | 34.0 |